(1)
First-principles (PBE-GGA) data for a relaxed SrAcPb crystal, as listed in the Alexandria database.

POSCAR file:
```
SrAcPb
1.0
5.6881 0.0000 0.0000
2.8440 4.9260 0.0000
2.8440 1.6420 4.6443
Sr Pb Ac
1 1 1
direct
0.5000 0.5000 0.5000
0.2500 0.2500 0.2500
0.0000 0.0000 0.0000
```

Values from the calculation:
DOS(E_F) ... 0.8027 states/eV per atom
Energy ... -3.5048 eV per atom
Energy relative to the lowest polymorph listed for this composition ... 66 meV per atom

---

(2)
First-principles (PBE-GGA) data for a relaxed SrAcPb2 crystal, as listed in the Alexandria database.

POSCAR file:
```
SrAcPb2
1.0
3.8309 0.0000 0.0000
0.0000 3.8309 0.0000
0.0000 0.0000 9.5489
Pb Sr Ac
2 1 1
direct
0.0000 0.0000 0.2519
0.0000 0.0000 0.7481
0.5000 0.5000 0.5000
0.5000 0.5000 0.0000
```

Values from the calculation:
DOS(E_F) ... 0.7531 states/eV per atom
Energy ... -3.8088 eV per atom

---

(3)
First-principles (PBE-GGA) data for a relaxed SrAcPb crystal, as listed in the Alexandria database.

POSCAR file:
```
SrAcPb
1.0
-3.3861 0.8989 -2.3948
1.8195 -3.6700 -3.9502
-3.4279 -1.7839 4.1773
Sr Pb Ac
1 1 1
direct
0.4080 0.3333 0.6667
0.6483 0.6667 0.3333
0.9438 0.0000 0.0000
```

Values from the calculation:
DOS(E_F) ... 1.4311 states/eV per atom
Energy ... -3.3972 eV per atom
Energy relative to the lowest polymorph listed for this composition ... 173 meV per atom

---

(4)
First-principles (PBE-GGA) data for a relaxed SrAc2Pb crystal, as listed in the Alexandria database.

POSCAR file:
```
SrAc2Pb
1.0
-2.7516 4.5251 -0.7675
-2.3781 -2.1815 -4.3359
-3.9793 -1.8884 3.1326
Ac Pb Sr
2 1 1
direct
0.0000 0.0000 0.5000
0.0000 0.5000 0.0000
0.5000 0.5000 0.5000
0.5000 0.0000 0.0000
```

Values from the calculation:
DOS(E_F) ... 1.0962 states/eV per atom
Energy ... -3.6128 eV per atom
Energy relative to the lowest polymorph listed for this composition ... 19 meV per atom

---

(5)
First-principles (PBE-GGA) data for a relaxed SrAc6Pb4 crystal, as listed in the Alexandria database.

POSCAR file:
```
SrAc6Pb4
1.0
-0.8862 -8.6415 -1.9844
5.1215 2.6544 6.7914
-6.7139 4.5924 3.6375
Ac Pb Sr
6 4 1
direct
0.3131 0.4863 0.4863
0.6869 0.1732 0.1732
0.0000 0.5137 0.8268
0.5000 0.5000 0.0000
0.5000 0.0000 0.5000
0.0000 0.8268 0.5137
0.0000 0.6252 0.1812
0.5560 0.3748 0.3748
0.0000 0.1812 0.6252
0.4440 0.8188 0.8188
0.0000 0.0000 0.0000
```

Values from the calculation:
DOS(E_F) ... 1.0023 states/eV per atom
Energy ... -4.0015 eV per atom

---

(6)
First-principles (PBE-GGA) data for a relaxed SrAc2Pb3 crystal, as listed in the Alexandria database.

POSCAR file:
```
SrAc2Pb3
1.0
-0.1378 -3.8103 0.5565
3.8506 -0.1332 0.0421
-0.0827 2.0600 14.0830
Pb Ac Sr
3 2 1
direct
0.0000 0.0000 0.0000
0.0000 0.0000 0.3350
0.0000 0.0000 0.6650
0.5000 0.5000 0.1692
0.5000 0.5000 0.8308
0.5000 0.5000 0.5000
```

Values from the calculation:
DOS(E_F) ... 0.9027 states/eV per atom
Energy ... -4.0059 eV per atom
Energy relative to the lowest polymorph listed for this composition ... 0 meV per atom

---

(7)
First-principles (PBE-GGA) data for a relaxed Sr2Ac3Pb4 crystal, as listed in the Alexandria database.

POSCAR file:
```
Sr2Ac3Pb4
1.0
-2.1799 0.8666 -4.5424
5.1448 -4.1688 -3.2643
-5.7762 -6.7496 4.3613
Pb Sr Ac
4 2 3
direct
0.4964 0.7088 0.9928
0.7506 0.6556 0.5013
0.2494 0.3444 0.4987
0.5036 0.2912 0.0072
0.6672 0.0721 0.3345
0.3328 0.9279 0.6655
0.0000 0.0000 0.0000
0.1101 0.5714 0.2202
0.8899 0.4286 0.7798
```

Values from the calculation:
DOS(E_F) ... 0.5867 states/eV per atom
Energy ... -3.8649 eV per atom
Energy relative to the lowest polymorph listed for this composition ... 0 meV per atom

---

(8)
First-principles (PBE-GGA) data for a relaxed SrAc2Pb2 crystal, as listed in the Alexandria database.

POSCAR file:
```
SrAc2Pb2
1.0
-2.3301 -1.8958 4.0061
7.0282 1.7601 4.9208
-3.2713 7.9129 1.8419
Ac Pb Sr
4 4 2
direct
0.0000 0.8259 0.8259
0.0000 0.6741 0.3259
0.0000 0.3259 0.6741
0.0000 0.1741 0.1741
0.5000 0.1251 0.8749
0.5000 0.8749 0.1251
0.5000 0.6251 0.6251
0.5000 0.3749 0.3749
0.5000 0.0000 0.5000
0.5000 0.5000 0.0000
```

Values from the calculation:
DOS(E_F) ... 0.6011 states/eV per atom
Energy ... -3.9933 eV per atom
Energy relative to the lowest polymorph listed for this composition ... 0 meV per atom

---

no.,theoretical density (g cm⁻³)
1,6.66
2,8.64
3,7.28
4,7.95
5,7.69
6,9.14
7,7.96
8,8.27